The following is a PBE+U calculation of a relaxed structure of Li5MnO3F, from Alexandria via LeMat-Bulk.

Lattice parameters (Å, degrees): 4.729 6.699 6.690 90.00 89.83 90.01
Last column: magnetic moment on the atom in μB.
Fractional coordinates of all 20 atoms:
Li: 0.956 0.306 0.249  0.00
Li: 0.033 0.544 0.979  0.01
Li: 0.543 0.508 0.973  0.00
Li: 0.544 0.805 0.201  0.00
Li: 0.018 0.302 0.703  0.00
Li: 0.518 0.226 0.772  0.00
Li: 0.467 0.043 0.471  0.01
Li: 0.957 0.008 0.477  0.00
Li: 0.982 0.726 0.678  0.00
Li: 0.481 0.802 0.747  0.00
Mn: 0.980 0.013 0.966  4.54
Mn: 0.520 0.512 0.484  4.54
O: 0.812 0.293 0.973  0.04
O: 0.743 0.256 0.493  0.04
O: 0.757 0.756 0.956  0.04
O: 0.278 0.524 0.742  0.05
O: 0.688 0.793 0.477  0.04
O: 0.222 0.024 0.708  0.05
F: 0.283 0.530 0.203  0.03
F: 0.217 0.030 0.247  0.03

Calculated values
* energy above the lowest structure with this stoichiometry: 0.001 eV/f.u.
* space-group type: P2_1, No. 4
* total magnetization: 0.500 μB per atom